LiTl3V2F9 | GGA+U | relaxed

Structure (CIF):
```
data_LiTl3V2F9
_chemical_formula_sum 'Li1 Tl3 V2 F9'
_symmetry_space_group_name_H-M 'P 1'
_symmetry_Int_Tables_number 1
_symmetry_space_group_name_Hall 'P 1'
_cell_length_a 5.9619
_cell_length_b 5.9619
_cell_length_c 7.2972
_cell_angle_alpha 90.00
_cell_angle_beta 90.00
_cell_angle_gamma 120.00
loop_
_atom_site_label
_atom_site_fract_x
_atom_site_fract_y
_atom_site_fract_z
_atom_site_occupancy
Li1 0.0000 0.0000 0.0000 1
Tl1 0.0000 0.0000 0.5000 1
Tl2 0.3333 0.6667 0.1440 1
Tl3 0.6667 0.3333 0.8560 1
V1 0.3333 0.6667 0.6640 1
V2 0.6667 0.3333 0.3360 1
F1 0.0000 0.5000 0.5000 1
F2 0.1719 0.3438 0.8235 1
F3 0.1719 0.8281 0.8235 1
F4 0.3438 0.1719 0.1765 1
F5 0.5000 0.0000 0.5000 1
F6 0.5000 0.5000 0.5000 1
F7 0.6562 0.8281 0.8235 1
F8 0.8281 0.1719 0.1765 1
F9 0.8281 0.6562 0.1765 1
```

Results
Total magnetization ... 5.00 μB per formula unit
Crystal system ... trigonal
Final energy ... -0.3760 Ry/atom